Record 1
Material: ZnB2Pd2
Method: DFT, PBE
State: relaxed

For the raw total energy, the calculation gives -5.013 eV/atom. The space group is P4/mbm (127). The calculation puts the density of states at the Fermi level at 2.292 states/eV/cell.

Cell lengths 6.1980, 6.1980, 2.9869 Å; angles 90.00, 90.00, 90.00 degrees
Positions (direct):
Pd: 0.2226 0.7226 0.5000
Pd: 0.2774 0.2226 0.5000
Pd: 0.7226 0.7774 0.5000
Pd: 0.7774 0.2774 0.5000
B: 0.0935 0.4065 0.0000
B: 0.4065 0.9065 0.0000
B: 0.5935 0.0935 0.0000
B: 0.9065 0.5935 0.0000
Zn: 0.5000 0.5000 0.0000
Zn: 0.0000 0.0000 0.0000

Record 2
Material: ZnB3Pd
Method: DFT, PBE
State: relaxed

The space group is Pm-3m (221). The calculation puts the density of states at the Fermi level at 2.527 states/eV/cell. For the energy above the most stable polymorph in this dataset, the calculation gives 0 meV/atom.

Cell lengths 4.1322, 4.1322, 4.1322 Å; angles 90.00, 90.00, 90.00 degrees
Positions (direct):
Zn: 0.5000 0.5000 0.5000
B: 0.0000 0.0000 0.5000
B: 0.0000 0.5000 0.0000
B: 0.5000 0.0000 0.0000
Pd: 0.0000 0.0000 0.0000

Record 3
Material: Zn3BPd
Method: DFT, PBE
State: relaxed

The space group is Pm-3m (221). The calculation puts the density of states at the Fermi level at 0.917 states/eV/cell. For the energy above the most stable polymorph in this dataset, the calculation gives 0 meV/atom.

Cell lengths 4.1196, 4.1196, 4.1196 Å; angles 90.00, 90.00, 90.00 degrees
Positions (direct):
Zn: 0.5000 0.0000 0.0000
Zn: 0.0000 0.0000 0.5000
Zn: 0.0000 0.5000 0.0000
Pd: 0.5000 0.5000 0.5000
B: 0.0000 0.0000 0.0000

Record 4
Material: ZnBPd4
Method: DFT, PBE
State: relaxed

The space group is C2/c (15). The calculation puts the density of states at the Fermi level at 3.652 states/eV/cell. For the energy above the most stable polymorph in this dataset, the calculation gives 58 meV/atom.

Cell lengths 5.7661, 5.7666, 6.6013 Å; angles 109.35, 109.30, 103.71 degrees
Positions (direct):
Zn: 0.8730 0.6271 0.7500
Zn: 0.1270 0.3729 0.2500
Pd: 0.7194 0.4387 0.0041
Pd: 0.5625 0.7824 0.5003
Pd: 0.7177 0.9374 0.0000
Pd: 0.9389 0.2195 0.5044
Pd: 0.4375 0.2176 0.4997
Pd: 0.2823 0.0626 0.0000
Pd: 0.2806 0.5613 0.9959
Pd: 0.0611 0.7805 0.4956
B: 0.7082 0.7917 0.2501
B: 0.2918 0.2083 0.7499

Record 5
Material: Zn6BPd12
Method: DFT, PBE
State: relaxed

For the raw total energy, the calculation gives -4.356 eV/atom. The space group is R-3 (148). The calculation puts the density of states at the Fermi level at 5.553 states/eV/cell.

Cell lengths 6.6343, 6.6343, 6.6343 Å; angles 94.42, 94.42, 94.42 degrees
Positions (direct):
Zn: 0.7411 0.3498 0.1425
Zn: 0.1425 0.7411 0.3498
Zn: 0.2589 0.6502 0.8575
Zn: 0.3498 0.1425 0.7411
Zn: 0.6502 0.8575 0.2589
Zn: 0.8575 0.2589 0.6502
B: 0.0000 0.0000 0.0000
Pd: 0.8000 0.5823 0.4688
Pd: 0.4177 0.5312 0.2000
Pd: 0.9109 0.6889 0.0210
Pd: 0.0210 0.9109 0.6889
Pd: 0.3111 0.9790 0.0891
Pd: 0.5823 0.4688 0.8000
Pd: 0.2000 0.4177 0.5312
Pd: 0.9790 0.0891 0.3111
Pd: 0.5312 0.2000 0.4177
Pd: 0.4688 0.8000 0.5823
Pd: 0.6889 0.0210 0.9109
Pd: 0.0891 0.3111 0.9790

Record 6
Material: ZnBPd4
Method: DFT, PBE
State: relaxed

The space group is C2/c (15). The calculation puts the density of states at the Fermi level at 3.518 states/eV/cell. For the energy above the most stable polymorph in this dataset, the calculation gives 0 meV/atom.

Cell lengths 4.8702, 7.3727, 6.1159 Å; angles 116.97, 99.91, 112.02 degrees
Positions (direct):
Zn: 0.6314 0.3814 0.7627
Zn: 0.3686 0.6186 0.2373
Pd: 0.7610 0.3869 0.1936
Pd: 0.6033 0.0526 0.3224
Pd: 0.3967 0.9474 0.6776
Pd: 0.9327 0.8067 0.1936
Pd: 0.7808 0.7302 0.6776
Pd: 0.2192 0.2698 0.3224
Pd: 0.0673 0.1933 0.8064
Pd: 0.2390 0.6131 0.8064
B: 0.7475 0.9975 0.9951
B: 0.2525 0.0025 0.0049

Record 7
Material: ZnB2Pd6
Method: DFT, PBE
State: relaxed

The space group is C2/m (12). The calculation puts the density of states at the Fermi level at 2.051 states/eV/cell. For the energy above the most stable polymorph in this dataset, the calculation gives 104 meV/atom.

Cell lengths 4.1999, 5.6848, 6.2739 Å; angles 77.60, 70.45, 68.32 degrees
Positions (direct):
Pd: 0.3533 0.7783 0.5151
Pd: 0.6467 0.2217 0.4849
Pd: 0.9743 0.8561 0.1952
Pd: 0.2926 0.3352 0.0795
Pd: 0.7074 0.6648 0.9205
Pd: 0.0257 0.1439 0.8048
B: 0.7972 0.2710 0.1345
B: 0.2028 0.7290 0.8655
Zn: 0.0000 0.5000 0.5000

Record 8
Material: ZnB2Pd6
Method: DFT, PBE
State: relaxed

The space group is Immm (71). The calculation puts the density of states at the Fermi level at 6.479 states/eV/cell. For the energy above the most stable polymorph in this dataset, the calculation gives 0 meV/atom.

Cell lengths 7.3390, 6.7498, 6.7498 Å; angles 71.51, 57.07, 57.07 degrees
Positions (direct):
B: 0.0000 0.3458 0.6542
B: 0.6168 0.8832 0.8832
B: 0.0000 0.6542 0.3458
B: 0.3832 0.1168 0.1168
Pd: 0.0167 0.6740 0.6740
Pd: 0.2299 0.9737 0.5666
Pd: 0.2299 0.5666 0.9737
Pd: 0.6353 0.6740 0.6740
Pd: 0.2994 0.1829 0.8171
Pd: 0.7006 0.8171 0.1829
Pd: 0.7701 0.0263 0.4334
Pd: 0.3647 0.3260 0.3260
Pd: 0.7701 0.4334 0.0263
Pd: 0.2994 0.8171 0.1829
Pd: 0.9833 0.3260 0.3260
Pd: 0.7006 0.1829 0.8171
Zn: 0.0000 0.0000 0.0000
Zn: 0.5000 0.5000 0.5000

Record 9
Material: Zn2B2Pd
Method: DFT, PBE
State: relaxed

For the raw total energy, the calculation gives -4.070 eV/atom. The space group is P4/mbm (127). The calculation puts the density of states at the Fermi level at 1.702 states/eV/cell.

Cell lengths 5.6690, 5.6690, 3.4911 Å; angles 90.00, 90.00, 90.00 degrees
Positions (direct):
B: 0.1020 0.3980 0.0000
B: 0.6020 0.1020 0.0000
B: 0.8980 0.6020 0.0000
B: 0.3980 0.8980 0.0000
Pd: 0.5000 0.5000 0.0000
Pd: 0.0000 0.0000 0.0000
Zn: 0.6881 0.8119 0.5000
Zn: 0.1881 0.6881 0.5000
Zn: 0.8119 0.3119 0.5000
Zn: 0.3119 0.1881 0.5000

Record 10
Material: Zn3BPd
Method: DFT, PBE
State: relaxed

The space group is Pm-3m (221). The calculation puts the density of states at the Fermi level at 2.511 states/eV/cell. For the energy above the most stable polymorph in this dataset, the calculation gives 841 meV/atom.

Cell lengths 4.7671, 4.7671, 4.7671 Å; angles 90.00, 90.00, 90.00 degrees
Positions (direct):
Zn: 0.0000 0.5000 0.0000
Zn: 0.0000 0.0000 0.5000
Zn: 0.5000 0.0000 0.0000
B: 0.5000 0.5000 0.5000
Pd: 0.0000 0.0000 0.0000

Record 11
Material: ZnB3Pd
Method: DFT, PBE
State: relaxed

The space group is Pm-3m (221). The calculation puts the density of states at the Fermi level at 2.457 states/eV/cell. For the energy above the most stable polymorph in this dataset, the calculation gives 394 meV/atom.

Cell lengths 3.9660, 3.9660, 3.9660 Å; angles 90.00, 90.00, 90.00 degrees
Positions (direct):
Pd: 0.5000 0.5000 0.5000
Zn: 0.0000 0.0000 0.0000
B: 0.0000 0.0000 0.5000
B: 0.0000 0.5000 0.0000
B: 0.5000 0.0000 0.0000

Record 12
Material: Zn2BPd
Method: DFT, PBE
State: relaxed

For the raw total energy, the calculation gives -3.298 eV/atom. The space group is I-42d (122). The calculation puts the density of states at the Fermi level at 3.895 states/eV/cell.

Cell lengths 6.9752, 6.9752, 5.4250 Å; angles 49.99, 49.99, 90.00 degrees
Positions (direct):
Zn: 0.8750 0.7929 0.7500
Zn: 0.2071 0.6250 0.2500
Zn: 0.3750 0.4571 0.7500
Zn: 0.5429 0.1250 0.2500
Pd: 0.7500 0.2500 0.5000
Pd: 0.0000 0.0000 0.0000
B: 0.5000 0.5000 0.0000
B: 0.2500 0.7500 0.5000